Entry 1:
K3Al2As3O12 GGA-PBEsol optimized geometry; size of the total moment = 0.07 μB per formula unit; E = -6.41 eV/atom
1.0
8.8870 0.0000 0.0000
0.0000 17.4967 0.0000
0.0000 0.0000 8.7089
K Al As O
12 8 12 48
direct
0.0078 0.0963 0.0000
0.0491 0.8545 0.9660
0.1753 0.4890 0.2794
0.3247 0.9890 0.7794
0.4509 0.3545 0.4660
0.4922 0.5963 0.5000
0.5078 0.4037 0.0000
0.5491 0.6455 0.9660
0.6753 0.0110 0.2794
0.8247 0.5110 0.7794
0.9509 0.1455 0.4660
0.9922 0.9037 0.5000
0.1329 0.3322 0.8130
0.1540 0.6600 0.8038
0.3460 0.1600 0.3038
0.3671 0.8322 0.3130
0.6329 0.1678 0.8130
0.6540 0.8400 0.8038
0.8460 0.3400 0.3038
0.8671 0.6678 0.3130
0.1542 0.2848 0.1590
0.2060 0.6851 0.1709
0.2345 0.9971 0.2426
0.2655 0.4971 0.7426
0.2940 0.1851 0.6709
0.3458 0.7848 0.6590
0.6542 0.2152 0.1590
0.7060 0.8149 0.1709
0.7345 0.5029 0.2426
0.7655 0.0029 0.7426
0.7940 0.3149 0.6709
0.8458 0.7152 0.6590
0.0159 0.2892 0.2967
0.0215 0.6574 0.1885
0.0656 0.2907 0.9839
0.0730 0.0328 0.3124
0.1183 0.5624 0.7757
0.1733 0.1243 0.7505
0.2110 0.4210 0.8591
0.2130 0.8503 0.6917
0.2160 0.1915 0.1637
0.2182 0.7790 0.2293
0.2297 0.9720 0.0568
0.2384 0.6898 0.9764
0.2616 0.1898 0.4764
0.2703 0.4720 0.5568
0.2818 0.2790 0.7293
0.2840 0.6915 0.6637
0.2870 0.3503 0.1917
0.2890 0.9210 0.3591
0.3267 0.6243 0.2505
0.3817 0.0624 0.2757
0.4270 0.5328 0.8124
0.4344 0.7907 0.4839
0.4785 0.1574 0.6885
0.4841 0.7892 0.7967
0.5159 0.2108 0.2967
0.5215 0.8426 0.1885
0.5656 0.2093 0.9839
0.5730 0.4672 0.3124
0.6183 0.9376 0.7757
0.6733 0.3757 0.7505
0.7110 0.0790 0.8591
0.7130 0.6497 0.6917
0.7160 0.3085 0.1637
0.7182 0.7210 0.2293
0.7297 0.5280 0.0568
0.7384 0.8102 0.9764
0.7616 0.3102 0.4764
0.7703 0.0280 0.5568
0.7818 0.2210 0.7293
0.7840 0.8085 0.6637
0.7870 0.1497 0.1917
0.7890 0.5790 0.3591
0.8267 0.8757 0.2505
0.8817 0.4376 0.2757
0.9270 0.9672 0.8124
0.9344 0.7093 0.4839
0.9785 0.3426 0.6885
0.9841 0.7108 0.7967

---

Entry 2:
KAlAs2O7 GGA-PBEsol optimized geometry; size of the total moment = 0.00 μB per formula unit; E = -6.54 eV/atom
1.0
6.2231 0.0000 0.0000
-1.3827 6.1736 0.0000
-2.1022 -1.4336 7.7690
K Al As O
2 2 4 14
direct
0.0000 0.0000 0.0000
0.0000 0.0000 0.5000
0.3764 0.6919 0.2256
0.6236 0.3081 0.7744
0.1722 0.4680 0.8110
0.4880 0.2475 0.3364
0.5120 0.7525 0.6636
0.8278 0.5320 0.1890
0.0984 0.6936 0.2803
0.2126 0.6536 0.9874
0.2192 0.6289 0.6488
0.3176 0.3830 0.2162
0.3372 0.2870 0.8215
0.4195 0.9935 0.2196
0.4520 0.2492 0.5343
0.5480 0.7508 0.4657
0.5805 0.0065 0.7804
0.6628 0.7130 0.1785
0.6824 0.6170 0.7838
0.7808 0.3711 0.3512
0.7874 0.3464 0.0126
0.9016 0.3064 0.7197

---

Entry 3:
KAlAsPb2 GGA-PBEsol optimized geometry; size of the total moment = 0.00 μB per formula unit; calculated formation energy = 58.7 kJ per mole of atoms; E = -3.06 eV/atom
1.0
5.3035 0.0000 0.0000
0.0000 5.3035 0.0000
0.0000 0.0000 5.6769
K Al As Pb
1 1 1 2
direct
0.0000 0.0000 0.0000
0.0000 0.0000 0.5000
0.5000 0.5000 0.0000
0.0000 0.5000 0.5000
0.5000 0.0000 0.5000

---

Entry 4:
LaAl2As GGA-PBEsol optimized geometry; size of the total moment = 0.00 μB per formula unit; calculated formation energy = -25.0 kJ per mole of atoms; E = -4.92 eV/atom
1.0
7.0103 0.0000 0.0000
0.0000 7.0103 0.0000
0.0000 0.0000 7.0103
La Al As
4 8 4
direct
0.0000 0.0000 0.0000
0.0000 0.5000 0.5000
0.5000 0.0000 0.5000
0.5000 0.5000 0.0000
0.0000 0.0000 0.5000
0.0000 0.5000 0.0000
0.2500 0.2500 0.7500
0.2500 0.7500 0.2500
0.5000 0.0000 0.0000
0.5000 0.5000 0.5000
0.7500 0.2500 0.2500
0.7500 0.7500 0.7500
0.2500 0.2500 0.2500
0.2500 0.7500 0.7500
0.7500 0.2500 0.7500
0.7500 0.7500 0.2500

---

Entry 5:
LaAl2As GGA-PBEsol optimized geometry; size of the total moment = 0.00 μB per formula unit; calculated formation energy = -31.9 kJ per mole of atoms; E = -4.99 eV/atom
1.0
5.8597 0.0000 0.0000
0.0000 5.9125 0.0000
0.0000 0.0000 11.1286
La Al As
4 8 4
direct
0.0000 0.0000 0.0000
0.0000 0.5000 0.5000
0.5000 0.0000 0.5000
0.5000 0.5000 0.0000
0.2500 0.0000 0.2500
0.2500 0.0000 0.7500
0.2500 0.5000 0.2500
0.2500 0.5000 0.7500
0.7500 0.0000 0.2500
0.7500 0.0000 0.7500
0.7500 0.5000 0.2500
0.7500 0.5000 0.7500
0.0000 0.0000 0.5000
0.0000 0.5000 0.0000
0.5000 0.0000 0.0000
0.5000 0.5000 0.5000

---

Entry 6:
LaAlAs GGA-PBEsol optimized geometry; size of the total moment = 0.00 μB per formula unit; calculated formation energy = -73.9 kJ per mole of atoms; E = -5.61 eV/atom
1.0
4.4281 0.0000 0.0000
-2.2141 3.8349 0.0000
0.0000 0.0000 4.0809
La Al As
1 1 1
direct
0.0000 0.0000 0.0000
0.3333 0.6667 0.5000
0.6667 0.3333 0.5000

---

Entry 7:
LaAlAs GGA-PBEsol optimized geometry; size of the total moment = 0.00 μB per formula unit; calculated formation energy = -57.8 kJ per mole of atoms; E = -5.45 eV/atom
1.0
4.9611 0.0000 0.0000
0.0000 5.0851 0.0000
0.0000 0.0000 10.6294
La Al As
4 4 4
direct
0.0000 0.0000 0.0000
0.0000 0.5000 0.5000
0.5000 0.0000 0.5000
0.5000 0.5000 0.0000
0.0000 0.0000 0.7057
0.0000 0.5000 0.2057
0.5000 0.0000 0.2057
0.5000 0.5000 0.7057
0.0000 0.0000 0.3027
0.0000 0.5000 0.8027
0.5000 0.0000 0.8027
0.5000 0.5000 0.3027

---

Entry 8:
LaAl2AsOs GGA-PBEsol optimized geometry; size of the total moment = 3.12 μB per formula unit; calculated formation energy = 220.2 kJ per mole of atoms; E = -3.89 eV/atom
1.0
5.5202 0.0000 0.0000
0.0000 5.5202 0.0000
0.0000 0.0000 5.2208
La Al As Os
1 2 1 1
direct
0.0000 0.0000 0.0000
0.0000 0.5000 0.0000
0.5000 0.0000 0.0000
0.0000 0.0000 0.5000
0.5000 0.5000 0.5000

---

Entry 9:
LaYAl2As GGA-PBEsol optimized geometry; size of the total moment = 0.00 μB per formula unit; calculated formation energy = 8.5 kJ per mole of atoms; E = -5.00 eV/atom
1.0
4.9562 0.0000 0.0000
0.0000 4.9562 0.0000
0.0000 0.0000 5.5005
La Y Al As
1 1 2 1
direct
0.0000 0.0000 0.0000
0.5000 0.5000 0.0000
0.0000 0.5000 0.5000
0.5000 0.0000 0.5000
0.0000 0.0000 0.5000

---

Entry 10:
LiAlAs3 GGA-PBEsol optimized geometry; size of the total moment = 0.00 μB per formula unit; calculated formation energy = 47.7 kJ per mole of atoms; E = -3.78 eV/atom
1.0
4.5219 0.0000 0.0000
0.0000 4.5219 0.0000
0.0000 0.0000 4.5219
Li Al As
1 1 3
direct
0.0000 0.0000 0.0000
0.5000 0.5000 0.5000
0.0000 0.0000 0.5000
0.0000 0.5000 0.0000
0.5000 0.0000 0.0000

---

Entry 11:
Li2AlAs GGA-PBEsol optimized geometry; size of the total moment = 0.00 μB per formula unit; calculated formation energy = -32.3 kJ per mole of atoms; E = -3.62 eV/atom
1.0
5.4945 0.0000 0.0000
0.0000 8.2781 0.0000
0.0000 0.0000 2.7350
Li Al As
4 2 2
direct
0.2500 0.2500 0.0000
0.2500 0.7500 0.0000
0.7500 0.2500 0.0000
0.7500 0.7500 0.0000
0.0000 0.0000 0.5000
0.5000 0.5000 0.5000
0.0000 0.5000 0.5000
0.5000 0.0000 0.5000

---

Entry 12:
LiAl2TeAs GGA-PBEsol optimized geometry; size of the total moment = 0.00 μB per formula unit; E = -3.80 eV/atom
1.0
4.9527 0.0000 0.0000
0.0000 4.9527 0.0000
0.0000 0.0000 4.7079
Li Al Te As
1 2 1 1
direct
0.0000 0.0000 0.0000
0.0000 0.5000 0.5000
0.5000 0.0000 0.5000
0.5000 0.5000 0.0000
0.0000 0.0000 0.5000

---

Entry 13:
MgAlAs2 GGA-PBEsol optimized geometry; size of the total moment = 0.00 μB per formula unit; calculated formation energy = -6.9 kJ per mole of atoms; E = -4.08 eV/atom
1.0
3.6380 0.0000 0.0000
0.0000 4.1639 0.0000
0.0000 0.0000 4.8118
Mg Al As
1 1 2
direct
0.0000 0.0000 0.0000
0.0000 0.5000 0.5000
0.5000 0.0000 0.5000
0.5000 0.5000 0.0000

---

Entry 14:
MgScAlAs2 GGA-PBEsol optimized geometry; size of the total moment = 0.00 μB per formula unit; calculated formation energy = 31.7 kJ per mole of atoms; E = -4.20 eV/atom
1.0
4.8496 0.0000 0.0000
0.0000 4.8496 0.0000
0.0000 0.0000 4.8648
Mg Sc Al As
1 1 1 2
direct
0.0000 0.0000 0.0000
0.5000 0.5000 0.0000
0.0000 0.0000 0.5000
0.0000 0.5000 0.5000
0.5000 0.0000 0.5000

---

Entry 15:
Mn2AlAs GGA-PBEsol optimized geometry; size of the total moment = 0.00 μB per formula unit; excess energy over the best structure of this formula in the dataset = 8 meV per atom; calculated formation energy = -3.8 kJ per mole of atoms; E = -7.22 eV/atom
1.0
2.7434 0.0000 0.0000
0.0000 2.7434 0.0000
0.0000 0.0000 7.1668
Mn Al As
2 1 1
direct
0.0000 0.0000 0.0000
0.5000 0.5000 0.1922
0.0000 0.0000 0.4081
0.5000 0.5000 0.7819

---

Entry 16:
Mn2AlAs GGA-PBEsol optimized geometry; size of the total moment = 3.02 μB per formula unit; excess energy over the best structure of this formula in the dataset = 245 meV per atom; calculated formation energy = 19.1 kJ per mole of atoms; E = -6.98 eV/atom
1.0
5.8999 0.0000 0.0000
0.0000 5.8999 0.0000
0.0000 0.0000 5.8999
Mn Al As
8 4 4
direct
0.0000 0.0000 0.0000
0.0000 0.5000 0.5000
0.2500 0.2500 0.2500
0.2500 0.7500 0.7500
0.5000 0.0000 0.5000
0.5000 0.5000 0.0000
0.7500 0.2500 0.7500
0.7500 0.7500 0.2500
0.0000 0.0000 0.5000
0.0000 0.5000 0.0000
0.5000 0.0000 0.0000
0.5000 0.5000 0.5000
0.2500 0.2500 0.7500
0.2500 0.7500 0.2500
0.7500 0.2500 0.2500
0.7500 0.7500 0.7500

---

Entry 17:
MnAl2As GGA-PBEsol optimized geometry; size of the total moment = 2.15 μB per formula unit; calculated formation energy = 6.2 kJ per mole of atoms; E = -5.70 eV/atom
1.0
4.1284 0.0000 0.0000
0.0000 4.1284 0.0000
0.0000 0.0000 3.4158
Mn Al As
1 2 1
direct
0.0000 0.0000 0.0000
0.0000 0.5000 0.5000
0.5000 0.0000 0.5000
0.5000 0.5000 0.0000

---

Entry 18:
Mn2AlAs GGA-PBEsol optimized geometry; size of the total moment = 4.82 μB per formula unit; excess energy over the best structure of this formula in the dataset = 1 meV per atom; calculated formation energy = -4.5 kJ per mole of atoms; E = -7.23 eV/atom
1.0
3.5932 0.0000 0.0000
0.0000 3.5932 0.0000
0.0000 0.0000 8.0515
Mn Al As
4 2 2
direct
0.0000 0.0000 0.0000
0.0000 0.5000 0.2500
0.5000 0.0000 0.7500
0.5000 0.5000 0.5000
0.0000 0.5000 0.7500
0.5000 0.0000 0.2500
0.0000 0.0000 0.5000
0.5000 0.5000 0.0000

---

Entry 19:
MnAl2As GGA-PBEsol optimized geometry; size of the total moment = 0.00 μB per formula unit; calculated formation energy = -6.4 kJ per mole of atoms; E = -5.83 eV/atom
1.0
3.8999 0.0000 0.0000
0.0000 3.1763 0.0000
0.0000 0.0000 9.3380
Mn Al As
2 4 2
direct
0.0000 0.0000 0.0000
0.0000 0.5000 0.5000
0.0000 0.0000 0.7307
0.0000 0.5000 0.2307
0.5000 0.0000 0.4075
0.5000 0.5000 0.9075
0.5000 0.0000 0.1360
0.5000 0.5000 0.6360

---

Entry 20:
Mn2AlAs GGA-PBEsol optimized geometry; size of the total moment = 3.04 μB per formula unit; excess energy over the best structure of this formula in the dataset = 0 meV per atom; calculated formation energy = -4.6 kJ per mole of atoms; E = -7.23 eV/atom
1.0
8.6827 0.0000 0.0000
0.0000 2.8496 0.0000
-1.1208 0.0000 4.0575
Mn Al As
4 2 2
direct
0.0000 0.0000 0.0000
0.2315 0.0000 0.6293
0.5000 0.5000 0.0000
0.7315 0.5000 0.6293
0.4890 0.0000 0.4941
0.9890 0.5000 0.4941
0.2325 0.5000 0.1241
0.7325 0.0000 0.1241